Material: Cs3Rb3ZnCoO5
Method: DFT, GGA+U
State: relaxed

The space group is Cm (No. 8) and the conventional cell measures 7.255, 12.110 and 7.106 Å, with angles of 90.00, 94.63 and 90.00 degrees. The inequivalent atoms are Cs at (0.000, 0.000, 0.000), Cs at (0.171, 0.258, 0.314), Rb at (0.165, 0.285, 0.813), Rb at (0.299, 0.000, 0.643), Zn at (0.362, 0.500, 0.499), Co at (0.468, 0.000, 0.105), O at (0.195, 0.500, 0.271), O at (0.376, 0.134, 0.026) and O at (0.460, 0.365, 0.604).

Its energy above the most stable polymorph in this dataset is 0.34 kJ per mole of atoms. The volume comes out at 23.94 Å³ per atom. The spin magnetization is 0.23 μB/atom.